A plane-wave DFT calculation with PBE was carried out for an optimized crystal structure of RbPdW.

Properties
For the energy above the lowest structure with this stoichiometry, the calculation gives 0 meV/atom. The space group is F-43m.

Cell: 4.899 4.899 4.899 Å, 60.00 60.00 60.00°
Sites, in units of the cell vectors:
Rb (0.250, 0.250, 0.250)
W (0.750, 0.750, 0.750)
Pd (0.000, 0.000, 0.000)



A plane-wave DFT calculation with PBE was carried out for an optimized crystal structure of Li4SiAg2Sn.

Properties
For the uncorrected energy, the calculation gives -3.15 eV per atom. The space group is P-4m2.

Cell: 4.428 4.428 6.445 Å, 90.00 90.00 90.00°
Sites, in units of the cell vectors:
Li (0.000, 0.500, 0.227)
Li (0.500, 0.000, 0.773)
Li (0.000, 0.000, 0.000)
Li (0.500, 0.500, 0.500)
Si (0.500, 0.500, 0.000)
Sn (0.000, 0.000, 0.500)
Ag (0.500, 0.000, 0.223)
Ag (0.000, 0.500, 0.777)